1.
The following is a GGA-PBE calculation of a relaxed AcPuSn2 crystal, from the Alexandria database.

Computed properties:
DFT total energy in eV per cell: -28.24
N(E_F) in states/eV/f.u.: 10.59
Crystal system: tetragonal
Energy of formation from the pure elements in eV/atom: -0.45

abc: 4.169 4.169 6.969
angles: 90.00 90.00 90.00
Each line ends with the local moment (μB).
Sites, in units of the cell vectors:
Sn1 0.000 0.000 0.283  -0.01
Sn2 0.000 0.000 0.717  -0.01
Pu1 0.500 0.500 0.500  5.51
Ac1 0.500 0.500 0.000  0.11

=====

2.
The following is a GGA-PBE calculation of a relaxed AcPuSn2 crystal, from the Alexandria database.

Computed properties:
DFT total energy in eV per cell: -27.97
N(E_F) in states/eV/f.u.: 12.24
Crystal system: tetragonal
Energy of formation from the pure elements in eV/atom: -0.38

abc: 3.488 5.930 5.930
angles: 90.00 90.00 90.00
Each line ends with the local moment (μB).
Sites, in units of the cell vectors:
Ac1 0.500 0.500 0.500  0.10
Pu1 0.500 0.000 0.000  5.53
Sn1 0.000 0.500 0.000  -0.03
Sn2 0.000 0.000 0.500  -0.03

=====

3.
The following is a GGA-PBE calculation of a relaxed Ac2PuSn4 crystal, from the Alexandria database.

Computed properties:
DFT total energy in eV per cell: -39.40
N(E_F) in states/eV/f.u.: 11.01
Crystal system: tetragonal
Energy of formation from the pure elements in eV/atom: -0.12

abc: 5.648 5.648 9.330
angles: 107.62 107.62 90.00
Each line ends with the local moment (μB).
Sites, in units of the cell vectors:
Pu1 0.000 0.000 0.000  5.22
Sn1 0.825 0.825 0.651  0.06
Sn2 0.175 0.175 0.349  0.06
Sn3 0.500 0.000 0.000  0.04
Sn4 0.000 0.500 0.000  0.04
Ac1 0.628 0.628 0.256  -0.02
Ac2 0.372 0.372 0.744  -0.02

=====

4.
The following is a GGA-PBE calculation of a relaxed AcPu2Sn2 crystal, from the Alexandria database.

Computed properties:
DFT total energy in eV per cell: -85.39
N(E_F) in states/eV/f.u.: 14.23
Crystal system: hexagonal
Energy of formation from the pure elements in eV/atom: -0.38

abc: 5.073 5.073 13.923
angles: 90.00 90.00 120.00
Each line ends with the local moment (μB).
Sites, in units of the cell vectors:
Ac1 0.333 0.667 0.250  0.03
Ac2 0.667 0.333 0.750  0.03
Pu1 0.333 0.667 0.524  5.63
Pu2 0.667 0.333 0.024  5.63
Pu3 0.667 0.333 0.476  5.63
Pu4 0.333 0.667 0.976  5.63
Sn1 0.000 0.000 0.118  -0.07
Sn2 0.000 0.000 0.882  -0.07
Sn3 0.000 0.000 0.382  -0.07
Sn4 0.000 0.000 0.618  -0.07

=====

5.
The following is a GGA-PBE calculation of a relaxed AcTbPuSn crystal, from the Alexandria database.

Computed properties:
DFT total energy in eV per cell: -27.28
N(E_F) in states/eV/f.u.: 13.88
Crystal system: cubic
Energy of formation from the pure elements in eV/atom: -0.05

abc: 5.549 5.549 5.549
angles: 60.00 60.00 60.00
Each line ends with the local moment (μB).
Sites, in units of the cell vectors:
Tb1 0.000 0.000 0.000  0.28
Pu1 0.500 0.500 0.500  5.62
Sn1 0.250 0.250 0.250  -0.04
Ac1 0.750 0.750 0.750  0.28

=====

6.
The following is a GGA-PBE calculation of a relaxed AcPuSnTe crystal, from the Alexandria database.

Computed properties:
DFT total energy in eV per cell: -28.24
N(E_F) in states/eV/f.u.: 14.95
Crystal system: cubic

abc: 5.613 5.613 5.613
angles: 60.00 60.00 60.00
Each line ends with the local moment (μB).
Sites, in units of the cell vectors:
Ac1 0.500 0.500 0.500  0.02
Pu1 0.000 0.000 0.000  5.43
Te1 0.750 0.750 0.750  -0.08
Sn1 0.250 0.250 0.250  -0.13

=====

7.
The following is a GGA-PBE calculation of a relaxed AcPuThSn crystal, from the Alexandria database.

Computed properties:
DFT total energy in eV per cell: -29.68
N(E_F) in states/eV/f.u.: 15.33
Crystal system: cubic
Energy of formation from the pure elements in eV/atom: 0.04

abc: 5.589 5.589 5.589
angles: 60.00 60.00 60.00
Each line ends with the local moment (μB).
Sites, in units of the cell vectors:
Th1 0.000 0.000 0.000  0.14
Ac1 0.750 0.750 0.750  0.20
Pu1 0.500 0.500 0.500  5.54
Sn1 0.250 0.250 0.250  -0.01

=====

8.
The following is a GGA-PBE calculation of a relaxed AcPuTlSn crystal, from the Alexandria database.

Computed properties:
DFT total energy in eV per cell: -25.88
N(E_F) in states/eV/f.u.: 11.86
Crystal system: cubic
Energy of formation from the pure elements in eV/atom: -0.27

abc: 5.624 5.624 5.624
angles: 60.00 60.00 60.00
Each line ends with the local moment (μB).
Sites, in units of the cell vectors:
Ac1 0.500 0.500 0.500  0.10
Tl1 0.750 0.750 0.750  0.01
Sn1 0.250 0.250 0.250  -0.03
Pu1 0.000 0.000 0.000  5.58

=====

- Which value of DFT total energy does entry 1 give?
  -28.24 eV per cell